First-principles (GGA-PBE) data for an optimized crystal structure of As5Se8, as listed in the Alexandria database.

Cell: 7.919 7.919 7.918 Å, 60.00 60.00 59.99°
Element x y z (fractional)
As1 0.908 0.364 0.364
As2 0.364 0.908 0.364
As3 0.364 0.364 0.908
As4 0.364 0.364 0.364
As5 0.750 0.750 0.750
Se1 0.602 0.132 0.133
Se2 0.132 0.602 0.133
Se3 0.133 0.133 0.602
Se4 0.133 0.133 0.132
Se5 0.134 0.622 0.622
Se6 0.622 0.134 0.622
Se7 0.622 0.622 0.134
Se8 0.622 0.622 0.622

Output
**Energy**: -0.29423 Ry per atom
**SG**: F-43m, No. 216
**Calculated volume**: 27.01 A^3/atom
**Formation energy without anion corrections**: -0.071 eV per atom

***

First-principles (GGA-PBE) data for an optimized crystal structure of As4Se5, as listed in the Alexandria database.

Cell: 7.988 7.988 7.988 Å, 92.52 92.52 155.79°
Element x y z (fractional)
As1 0.367 0.000 0.367
As2 0.633 0.000 0.633
As3 0.000 0.633 0.633
As4 0.000 0.367 0.367
Se1 0.000 0.000 0.000
Se2 0.312 0.688 0.000
Se3 0.688 0.312 0.000
Se4 0.688 0.688 0.376
Se5 0.312 0.312 0.624

Output
**Energy**: -0.26577 Ry per atom
**SG**: I4/mmm, No. 139
**Calculated volume**: 22.71 A^3/atom
**Formation energy without anion corrections**: 0.386 eV per atom

***

First-principles (GGA-PBE) data for an optimized crystal structure of As3Se, as listed in the Alexandria database.

Cell: 2.886 2.886 9.967 Å, 90.00 90.00 107.49°
Element x y z (fractional)
As1 0.000 0.000 0.981
As2 0.500 0.500 0.750
As3 0.000 0.000 0.519
Se1 0.500 0.500 0.250

Output
**Energy**: -0.28786 Ry per atom
**SG**: Cmmm, No. 65
**Calculated volume**: 19.79 A^3/atom
**Formation energy without anion corrections**: 0.442 eV per atom

***

Question: calculated volume of number 2 (As4Se5)?
Answer: 22.71 A^3/atom